AlInMo at its PBEsol-relaxed geometry. Source: Alexandria via LeMat-Bulk, functional SCAN.

Cell lengths 4.4468, 4.4468, 4.4468 Å; angles 60.00, 60.00, 60.00 degrees
Each line ends with the local moment (μB).
Atoms (fractional coordinates):
Mo (0.2500, 0.2500, 0.2500)  2.01
Al (0.0000, 0.0000, 0.0000)  -0.04
In (0.5000, 0.5000, 0.5000)  -0.05

* energy relative to the elements: 0.561 eV per atom
* D(E_F): 1.61 states/eV/cell
* ρ: 6.349 Mg/m³